DFT (PBE-GGA) results for a geometry-optimized AcTlTc2O7 structure.

```
AcTlTc2O7
1.0
-1.975 1.975 11.365
1.975 -1.975 11.365
1.975 1.975 -11.365
Ac Tl Tc O
1 1 2 7
direct
0.000 0.000 0.000
0.750 0.250 0.500
0.405 0.405 0.000
0.595 0.595 0.000
0.079 0.579 0.500
0.326 0.326 0.000
0.421 0.921 0.500
0.500 0.500 0.000
0.585 0.085 0.500
0.674 0.674 0.000
0.915 0.415 0.500
```

## Properties
ΔE_f (raw) in meV per atom: -1732
SG: I-4m2 (119)
Size of the total moment in μB per formula unit: 3.02
Crystal system: tetragonal